Crystalline MnS2F at its relaxed geometry. Source: the Alexandria database, functional PBE with a Hubbard U.

Calculated values
E_tot: -73.252 eV/cell
DOS(E_F): 0.4555 states/eV per atom
Energy relative to the lowest polymorph listed for this composition: 0.249 eV/atom

a = 6.1091 Å, b = 6.1091 Å, c = 6.1091 Å
α = 90.00°, β = 90.00°, γ = 90.00°
Space group Fm-3m (No. 225)
Asymmetric unit:
1 Mn 0.0000 0.0000 0.0000
2 S 0.2500 0.2500 0.2500
3 F 0.0000 0.0000 0.5000